Compound: AcYFe2O6
Source: Alexandria via LeMat-Bulk
Functional: PBE+U
Structure: optimized geometry

Output
For the volume, the calculation gives 125 Å³/f.u. As for the spin magnetization: 1.00 μB per atom. The space group is Cm, No. 8. The total energy comes out at -7.63 eV per atom.

a = 5.6105 Å, b = 5.6029 Å, c = 5.6156 Å
α = 60.13°, β = 59.85°, γ = 60.12°
With the nearest neighbours (Å) after each atom.
Atoms (fractional coordinates):
Fe  0.0149  0.0178  0.9489  6 O 2.02-2.09
O  0.8475  0.2235  0.6247  2 Fe 2.02-2.08
Fe  0.5140  0.5188  0.4499  6 O 2.02-2.09
O  0.3406  0.7251  0.7426  2 Fe 2.04
O  0.2292  0.3023  0.7625  2 Fe 2.02
Ac  0.7714  0.7706  0.6971  5 O 2.43-2.63
O  0.8268  0.7047  0.1662  2 Fe 2.02
Y  0.2401  0.2899  0.1777  6 O 2.29-2.51
O  0.2289  0.8435  0.2434  2 Fe 2.02-2.08
O  0.6482  0.2655  0.2022  2 Fe 2.09, 1 Y 2.29

---

Compound: Ac3Zn2FeO8
Source: Alexandria via LeMat-Bulk
Functional: PBE+U
Structure: optimized geometry

Output
For the volume, the calculation gives 199 Å³/f.u. As for the spin magnetization: 0.07 μB per atom. The space group is P-3m1, No. 164. The total energy comes out at -6.53 eV per atom.

a = 5.6295 Å, b = 5.6295 Å, c = 7.2532 Å
α = 90.00°, β = 90.00°, γ = 120.00°
With the nearest neighbours (Å) after each atom.
Atoms (fractional coordinates):
Zn  0.6667  0.3333  0.8038  4 O 1.84-1.97
Ac  0.0000  0.0000  0.0000  6 O 2.85
O  0.8420  0.1580  0.6694  1 Zn 1.97, 1 Fe 1.97
O  0.6839  0.8420  0.3306  1 Zn 1.97, 1 Fe 1.97
O  0.1580  0.3161  0.3306  1 Zn 1.97, 1 Fe 1.97
O  0.3161  0.1580  0.6694  1 Zn 1.97, 1 Fe 1.97
O  0.6667  0.3333  0.0570  1 Zn 1.84
Ac  0.6667  0.3333  0.3695  1 O 2.27
Fe  0.0000  0.0000  0.5000  6 O 1.97
O  0.1580  0.8420  0.3306  1 Zn 1.97, 1 Fe 1.97
Zn  0.3333  0.6667  0.1962  4 O 1.84-1.97
Ac  0.3333  0.6667  0.6305  1 O 2.27
O  0.3333  0.6667  0.9430  1 Zn 1.84
O  0.8420  0.6839  0.6694  1 Zn 1.97, 1 Fe 1.97

---

Compound: Ac4ZnFe3O12
Source: Alexandria via LeMat-Bulk
Functional: PBE+U
Structure: optimized geometry

Output
For the volume, the calculation gives 251 Å³/f.u. As for the spin magnetization: 0.40 μB per atom. The space group is Im-3m, No. 229. The total energy comes out at -7.02 eV per atom.

a = 6.8852 Å, b = 6.8852 Å, c = 6.8852 Å
α = 109.47°, β = 109.47°, γ = 109.47°
With the nearest neighbours (Å) after each atom.
Atoms (fractional coordinates):
O  0.0000  0.2584  0.2584  1 Fe 1.92, 1 Zn 2.05
Fe  0.5000  0.5000  0.0000  6 O 1.92-1.99
O  0.7416  0.0000  0.7416  1 Fe 1.92, 1 Zn 2.05
O  0.5000  0.7500  0.2500  2 Fe 1.99
O  0.2584  0.2584  0.0000  1 Fe 1.92, 1 Zn 2.05
Ac  0.0000  0.5000  0.0000  12 O 2.81
Ac  0.5000  0.0000  0.0000  12 O 2.81
O  0.5000  0.2500  0.7500  2 Fe 1.99
O  0.2500  0.7500  0.5000  2 Fe 1.99
O  0.2584  0.0000  0.2584  1 Fe 1.92, 1 Zn 2.05
Zn  0.0000  0.0000  0.0000  6 O 2.05
Ac  0.0000  0.0000  0.5000  12 O 2.81
Fe  0.0000  0.5000  0.5000  6 O 1.92-1.99
O  0.7500  0.2500  0.5000  2 Fe 1.99
Ac  0.5000  0.5000  0.5000  12 O 2.81
O  0.7500  0.5000  0.2500  2 Fe 1.99
O  0.2500  0.5000  0.7500  2 Fe 1.99
O  0.0000  0.7416  0.7416  1 Fe 1.92, 1 Zn 2.05
Fe  0.5000  0.0000  0.5000  6 O 1.92-1.99
O  0.7416  0.7416  0.0000  1 Fe 1.92, 1 Zn 2.05

---

Compound: AcZrFe2O8
Source: Alexandria via LeMat-Bulk
Functional: PBE+U
Structure: optimized geometry

Output
For the volume, the calculation gives 172 Å³/f.u. As for the spin magnetization: 0.58 μB per atom. The space group is I-4m2, No. 119. The total energy comes out at -7.21 eV per atom.

a = 6.0820 Å, b = 6.0820 Å, c = 6.0820 Å
α = 106.79°, β = 106.79°, γ = 114.97°
With the nearest neighbours (Å) after each atom.
Atoms (fractional coordinates):
Fe  0.7500  0.2500  0.5000  4 O 1.87
O  0.8630  0.6986  0.1644  1 Fe 1.76
O  0.3014  0.1370  0.8356  1 Fe 1.76
Ac  0.2500  0.7500  0.5000  8 O 2.46-2.57
Fe  0.5000  0.5000  0.0000  4 O 1.76
O  0.7757  0.0734  0.7024  1 Fe 1.87
O  0.3710  0.0734  0.2976  1 Fe 1.87
O  0.9266  0.6290  0.7024  1 Fe 1.87
Zr  0.0000  0.0000  0.0000  8 O 2.21-2.30
O  0.5342  0.6986  0.8356  1 Fe 1.76
O  0.3014  0.4658  0.1644  1 Fe 1.76
O  0.9266  0.2243  0.2976  1 Fe 1.87

---

Compound: Ac2ZrFeO6
Source: Alexandria via LeMat-Bulk
Functional: PBE+U
Structure: optimized geometry

Output
For the volume, the calculation gives 145 Å³/f.u. As for the spin magnetization: 0.40 μB per atom. The space group is P2_1/c, No. 14. The total energy comes out at -8.22 eV per atom.

a = 5.8813 Å, b = 5.8952 Å, c = 8.3777 Å
α = 90.00°, β = 89.93°, γ = 90.00°
With the nearest neighbours (Å) after each atom.
Atoms (fractional coordinates):
Zr  0.0000  0.5000  0.0000  6 O 2.12-2.13
O  0.7968  0.7887  0.9494  1 Zr 2.12, 1 Fe 2.19
O  0.5914  0.0272  0.2562  1 Zr 2.12, 1 Fe 2.22
Ac  0.9912  0.0430  0.7473  5 O 2.49-2.77
O  0.2879  0.7077  0.0473  1 Zr 2.13, 1 Fe 2.16
Ac  0.5088  0.5430  0.7527  5 O 2.49-2.77
Fe  0.0000  0.5000  0.5000  6 O 2.16-2.22
O  0.2032  0.2113  0.0506  1 Zr 2.12, 1 Fe 2.19
O  0.0914  0.4728  0.7562  1 Zr 2.12, 1 Fe 2.22
O  0.2121  0.2077  0.4527  1 Zr 2.13, 1 Fe 2.16
O  0.7879  0.7923  0.5473  1 Zr 2.13, 1 Fe 2.16
Zr  0.5000  0.0000  0.5000  6 O 2.12-2.13
O  0.7121  0.2923  0.9527  1 Zr 2.13, 1 Fe 2.16
O  0.7032  0.2887  0.5506  1 Zr 2.12, 1 Fe 2.19
Ac  0.0088  0.9570  0.2527  5 O 2.49-2.77
O  0.2968  0.7113  0.4494  1 Zr 2.12, 1 Fe 2.19
O  0.9086  0.5272  0.2438  1 Zr 2.12, 1 Fe 2.22
Fe  0.5000  0.0000  0.0000  6 O 2.16-2.22
O  0.4086  0.9728  0.7438  1 Zr 2.12, 1 Fe 2.22
Ac  0.4912  0.4570  0.2473  5 O 2.49-2.77

---

Compound: AcZrFeO5
Source: Alexandria via LeMat-Bulk
Functional: PBE+U
Structure: optimized geometry

Output
For the volume, the calculation gives 122 Å³/f.u. As for the spin magnetization: 0.62 μB per atom. The space group is C2/c, No. 15. The total energy comes out at -8.18 eV per atom.

a = 6.0005 Å, b = 6.0005 Å, c = 7.6920 Å
α = 103.33°, β = 103.33°, γ = 107.30°
With the nearest neighbours (Å) after each atom.
Atoms (fractional coordinates):
O  0.2600  0.3689  0.5837  1 Fe 1.89
Ac  0.3302  0.6698  0.2500  5 O 2.45-2.61
O  0.6311  0.7400  0.9163  1 Fe 1.89
O  0.1008  0.6884  0.8967  1 Fe 1.91
O  0.9231  0.0769  0.7500  2 Zr 2.06
Fe  0.3178  0.6822  0.7500  4 O 1.89-1.91
O  0.3116  0.8992  0.6033  1 Fe 1.91
O  0.0769  0.9231  0.2500  2 Zr 2.06
O  0.7400  0.6311  0.4163  1 Fe 1.89
O  0.6884  0.1008  0.3967  1 Fe 1.91
O  0.8992  0.3116  0.1033  1 Fe 1.91
Ac  0.6698  0.3302  0.7500  5 O 2.45-2.61
Zr  0.0000  0.0000  0.0000  6 O 2.06-2.17
Fe  0.6822  0.3178  0.2500  4 O 1.89-1.91
O  0.3689  0.2600  0.0837  1 Fe 1.89
Zr  0.0000  0.0000  0.5000  6 O 2.06-2.17